KHf4BiO12: relaxed, GGA-PBE. Values from VASP.

Geometry as Quantum ESPRESSO input:
```
&SYSTEM
  ibrav = 0, nat = 18, ntyp = 4
/
ATOMIC_SPECIES
O 16.00 O.upf
Hf 178.49 Hf.upf
Bi 208.98 Bi.upf
K 39.10 K.upf
CELL_PARAMETERS angstrom
3.9870 -4.0522 0.0000
3.9870 4.0522 0.0000
0.0000 0.0000 8.2725
ATOMIC_POSITIONS crystal
O 0.6985 0.6985 0.7362
O 0.9172 0.4754 0.5000
O 0.4750 0.0298 0.0000
O 0.4754 0.9172 0.5000
O 0.7990 0.2002 0.7577
O 0.3297 0.3297 0.6740
O 0.6985 0.6985 0.2638
O 0.7990 0.2002 0.2423
O 0.0298 0.4750 0.0000
O 0.2002 0.7990 0.2423
O 0.3297 0.3297 0.3260
O 0.2002 0.7990 0.7577
Hf 0.0117 0.4936 0.2461
Hf 0.4936 0.0117 0.7539
Hf 0.4936 0.0117 0.2461
Hf 0.0117 0.4936 0.7539
Bi 0.5498 0.5498 0.5000
K 0.9732 0.9732 0.0000
```

## Properties
space-group type: Amm2
VASP energy: -147.78 eV for the cell shown

Mn2GaCu3: relaxed, GGA-PBE. Values from VASP.

Geometry as Quantum ESPRESSO input:
```
&SYSTEM
  ibrav = 0, nat = 6, ntyp = 3
/
ATOMIC_SPECIES
Mn 54.94 Mn.upf
Cu 63.55 Cu.upf
Ga 69.72 Ga.upf
CELL_PARAMETERS angstrom
-0.5271 4.7775 0.7377
-4.1441 2.1883 -1.2978
-3.0612 1.5773 3.4333
ATOMIC_POSITIONS crystal
Mn 0.3743 0.3743 0.3743
Mn 0.6257 0.6257 0.6257
Cu 0.0000 0.5000 0.0000
Cu 0.5000 0.0000 0.0000
Cu 0.0000 0.0000 0.5000
Ga 0.0000 0.0000 0.0000
```

## Properties
ΔE_f: 0.07 eV per atom
polymorph energy (0 for the lowest one): 9 meV per atom
space-group type: R-3m